# SmDy2WO8, relaxed, DFT PBE with a Hubbard U
data_SmDy2WO8
_symmetry_space_group_name_H-M 'P 1'
_symmetry_Int_Tables_number 1
_symmetry_space_group_name_Hall 'P 1'
_cell_length_a 5.064
_cell_length_b 5.064
_cell_length_c 6.918
_cell_angle_alpha 90.00
_cell_angle_beta 90.00
_cell_angle_gamma 90.55
loop_
_atom_site_label
_atom_site_fract_x
_atom_site_fract_y
_atom_site_fract_z
_atom_site_occupancy
Sm1 0.000 0.000 0.000 1
Dy1 0.500 0.500 0.255 1
Dy2 0.500 0.500 0.745 1
W1 0.000 0.000 0.500 1
O1 0.184 0.816 0.292 1
O2 0.184 0.816 0.708 1
O3 0.275 0.275 0.500 1
O4 0.314 0.314 0.000 1
O5 0.686 0.686 0.000 1
O6 0.725 0.725 0.500 1
O7 0.816 0.184 0.292 1
O8 0.816 0.184 0.708 1
# * uncorrected energy: -94.748 eV per cell
# * space-group type: No. 65
# * DOS(E_F): 6.28 states/eV/cell
# * crystal system: orthorhombic